# 1
{
  "formula": "MgTcBr3",
  "functional": "PBE",
  "state": "relaxed",
  "cell": [[5.204, 0.000, 0.000], [0.000, 5.204, 0.000], [0.000, 0.000, 5.204]],
  "species": ["Mg", "Tc", "Br", "Br", "Br"],
  "frac_coords": [[0.000, 0.000, 0.000], [0.500, 0.500, 0.500], [0.000, 0.500, 0.500], [0.500, 0.000, 0.500], [0.500, 0.500, 0.000]],
  "raw_formation_energy_ev_per_atom": 0.0368,
  "magnetic_moment_mub_per_fu": 2.3,
  "dft_energy_ev_per_fu": -16.8,
  "sg": "Pm-3m (221)"
}

=====

# 2
{
  "formula": "MgTc2Br",
  "functional": "PBE",
  "state": "relaxed",
  "cell": [[3.231, 0.000, 0.000], [0.000, 5.104, 0.000], [-0.376, 0.000, 4.456]],
  "species": ["Mg", "Tc", "Tc", "Br"],
  "frac_coords": [[0.000, 0.000, 0.000], [0.309, 0.500, 0.209], [0.691, 0.500, 0.791], [0.500, 0.000, 0.500]],
  "raw_formation_energy_ev_per_atom": 0.5322,
  "magnetic_moment_mub_per_fu": 0.0,
  "dft_energy_ev_per_fu": -21.9,
  "sg": "P2/m (10)"
}

=====

# 3
{
  "formula": "MgTc2Br",
  "functional": "PBE",
  "state": "relaxed",
  "cell": [[3.113, 0.000, 0.000], [0.000, 4.106, 0.000], [0.000, 0.000, 6.128]],
  "species": ["Mg", "Tc", "Tc", "Br"],
  "frac_coords": [[0.000, 0.000, 0.000], [0.500, 0.500, 0.178], [0.500, 0.500, 0.822], [0.000, 0.000, 0.500]],
  "raw_formation_energy_ev_per_atom": 0.6966,
  "magnetic_moment_mub_per_fu": 0.0,
  "dft_energy_ev_per_fu": -21.2,
  "sg": "Pmmm (47)"
}

=====

# 4
{
  "formula": "MgTc2Br",
  "functional": "PBE",
  "state": "relaxed",
  "cell": [[1.553, 0.896, 8.465], [-1.553, 0.896, 8.465], [0.000, -1.793, 8.465]],
  "species": ["Mg", "Tc", "Tc", "Br"],
  "frac_coords": [[0.000, 0.000, 0.000], [0.245, 0.245, 0.245], [0.508, 0.508, 0.508], [0.749, 0.749, 0.749]],
  "raw_formation_energy_ev_per_atom": 0.2503,
  "magnetic_moment_mub_per_fu": 0.0,
  "dft_energy_ev_per_fu": -23.0,
  "sg": "R3m (160)"
}

=====

Repeat the fourth record exactly.
{
  "formula": "MgTc2Br",
  "functional": "PBE",
  "state": "relaxed",
  "cell": [[1.553, 0.896, 8.465], [-1.553, 0.896, 8.465], [0.000, -1.793, 8.465]],
  "species": ["Mg", "Tc", "Tc", "Br"],
  "frac_coords": [[0.000, 0.000, 0.000], [0.245, 0.245, 0.245], [0.508, 0.508, 0.508], [0.749, 0.749, 0.749]],
  "raw_formation_energy_ev_per_atom": 0.2503,
  "magnetic_moment_mub_per_fu": 0.0,
  "dft_energy_ev_per_fu": -23.0,
  "sg": "R3m (160)"
}